Ba2PbI PBE-GGA optimized geometry; M_tot = 0.000 μB/atom; N(E_F) = 1.4 states/eV/f.u.; offset from the most stable computed form = 0.002 eV/atom; formation energy without anion corrections = -963 meV per atom
1.0
-5.156 -0.993 -1.086
2.228 -1.342 3.883
-2.047 9.477 1.050
Ba Pb I
2 1 1
direct
0.771 0.543 0.771
0.229 0.457 0.229
0.500 0.000 0.000
0.000 0.000 0.500


PuZrSe PBE-GGA optimized geometry; M_tot = 2.187 μB/atom; N(E_F) = 8.6 states/eV/f.u.; offset from the most stable computed form = 0.000 eV/atom; formation energy without anion corrections = -765 meV per atom
1.0
4.154 0.000 0.000
0.000 4.154 0.000
0.000 0.000 7.983
Se Pu Zr
2 2 2
direct
0.000 0.500 0.251
0.500 0.000 0.749
0.000 0.500 0.862
0.500 0.000 0.138
0.500 0.500 0.500
0.000 0.000 0.500


Mn3Ge5Te12 PBE-GGA optimized geometry; M_tot = 0.645 μB/atom; N(E_F) = 15.5 states/eV/f.u.; formation energy without anion corrections = 120 meV per atom
1.0
14.705 0.000 0.000
-4.902 13.864 0.000
-4.902 -6.932 12.007
Mn Te Ge
12 48 20
direct
0.125 0.875 0.750
0.375 0.750 0.625
0.875 0.125 0.250
0.125 0.250 0.875
0.750 0.875 0.625
0.375 0.625 0.250
0.250 0.125 0.375
0.625 0.250 0.375
0.250 0.625 0.875
0.625 0.375 0.750
0.875 0.750 0.125
0.750 0.375 0.125
0.913 0.087 0.635
0.365 0.952 0.778
0.048 0.413 0.825
0.913 0.825 0.548
0.325 0.778 0.413
0.778 0.452 0.365
0.913 0.087 0.865
0.587 0.865 0.413
0.675 0.452 0.587
0.452 0.778 0.865
0.635 0.587 0.913
0.952 0.365 0.278
0.048 0.635 0.722
0.175 0.087 0.722
0.135 0.722 0.548
0.675 0.222 0.587
0.413 0.048 0.325
0.278 0.413 0.825
0.913 0.825 0.778
0.778 0.325 0.913
0.722 0.587 0.175
0.222 0.548 0.635
0.087 0.175 0.222
0.548 0.325 0.913
0.365 0.413 0.087
0.413 0.135 0.587
0.635 0.048 0.222
0.825 0.913 0.278
0.722 0.135 0.048
0.587 0.635 0.413
0.952 0.587 0.175
0.175 0.087 0.952
0.825 0.913 0.048
0.278 0.865 0.952
0.222 0.675 0.087
0.087 0.913 0.365
0.452 0.675 0.087
0.587 0.722 0.675
0.135 0.413 0.087
0.413 0.278 0.325
0.087 0.175 0.452
0.413 0.365 0.587
0.548 0.222 0.135
0.865 0.278 0.452
0.325 0.548 0.413
0.087 0.913 0.135
0.865 0.587 0.913
0.587 0.952 0.675
0.750 0.625 0.375
0.500 0.000 0.000
0.125 0.750 0.375
0.125 0.375 0.250
0.000 0.000 0.500
0.750 0.125 0.875
0.000 0.500 0.500
0.250 0.375 0.625
0.500 0.000 0.500
0.500 0.500 0.500
0.250 0.875 0.125
0.000 0.000 0.000
0.875 0.625 0.750
0.375 0.250 0.125
0.000 0.500 0.000
0.625 0.875 0.250
0.875 0.250 0.625
0.625 0.750 0.875
0.375 0.125 0.750
0.500 0.500 0.000


Cs4RbHg12Pt3 PBE-GGA optimized geometry; M_tot = 0.000 μB/atom; N(E_F) = 4.3 states/eV/f.u.; electronic total energy = -1.47 eV/atom
1.0
-9.251 2.620 2.684
-0.432 -6.207 -7.806
4.513 -4.572 7.641
Hg Cs Pt Rb
12 4 3 1
direct
0.500 0.250 0.750
0.729 0.729 0.000
0.729 0.000 0.729
0.750 0.500 0.250
0.000 0.271 0.271
0.271 0.271 0.000
0.750 0.250 0.500
0.250 0.750 0.500
0.250 0.500 0.750
0.500 0.750 0.250
0.000 0.729 0.729
0.271 0.000 0.271
0.000 0.500 0.000
0.500 0.500 0.500
0.500 0.000 0.000
0.000 0.000 0.500
0.500 0.000 0.500
0.000 0.500 0.500
0.500 0.500 0.000
0.000 0.000 0.000


Sm4DyIn2 PBE-GGA optimized geometry; M_tot = 0.000 μB/atom; N(E_F) = 8.0 states/eV/f.u.; offset from the most stable computed form = 0.025 eV/atom
1.0
-7.423 8.374 -4.090
-4.795 -2.263 4.069
4.223 4.591 1.735
In Sm Dy
4 8 2
direct
0.886 0.590 0.482
0.114 0.410 0.518
0.614 0.090 0.482
0.386 0.910 0.518
0.619 0.652 0.577
0.711 0.161 0.062
0.789 0.661 0.062
0.289 0.839 0.938
0.119 0.848 0.423
0.381 0.348 0.423
0.211 0.339 0.938
0.881 0.152 0.577
0.000 0.000 0.000
0.500 0.500 0.000


SrCa6Ac2 PBE-GGA optimized geometry; M_tot = 0.000 μB/atom; N(E_F) = 11.2 states/eV/f.u.; offset from the most stable computed form = 0.021 eV/atom
1.0
-6.124 -1.671 2.021
-4.076 -2.557 -10.160
1.072 -11.075 -1.603
Ca Ac Sr
12 4 2
direct
0.642 0.091 0.352
0.032 0.575 0.321
0.192 0.988 0.246
0.692 0.246 0.988
0.142 0.352 0.091
0.858 0.648 0.909
0.308 0.754 0.012
0.358 0.909 0.648
0.808 0.012 0.754
0.468 0.679 0.425
0.968 0.425 0.679
0.532 0.321 0.575
0.087 0.220 0.446
0.587 0.446 0.220
0.413 0.554 0.780
0.913 0.780 0.554
0.750 0.877 0.123
0.250 0.123 0.877